(1)
Density functional theory data (PBE) for ReSnSN2 after structural relaxation.

Lattice parameters (Å, degrees): 3.9127 3.9127 5.1601 90.00 90.00 90.00
Space group P4/mmm (No. 123)
Unique sites:
Re (0.0000, 0.0000, 0.0000)
Sn (0.5000, 0.5000, 0.5000)
S (0.0000, 0.0000, 0.5000)
N (0.0000, 0.5000, 0.0000)

formation energy (no corrections): 1.62 eV/f.u.
VASP energy: -35.6 eV per cell
crystal system: tetragonal

(2)
Density functional theory data (PBE) for ReSnS2N after structural relaxation.

Lattice parameters (Å, degrees): 4.8953 4.8953 3.7705 90.00 90.00 90.00
Space group P4/mmm (No. 123)
Unique sites:
Re (0.0000, 0.0000, 0.0000)
Sn (0.5000, 0.5000, 0.5000)
S (0.0000, 0.5000, 0.0000)
N (0.0000, 0.0000, 0.5000)

formation energy (no corrections): 0.45 eV/f.u.
VASP energy: -32.6 eV per cell
crystal system: tetragonal

(3)
Density functional theory data (PBE) for SrReS2N after structural relaxation.

Lattice parameters (Å, degrees): 4.9330 4.9330 3.8220 90.00 90.00 90.00
Space group P4/mmm (No. 123)
Unique sites:
Sr (0.0000, 0.0000, 0.0000)
Re (0.5000, 0.5000, 0.5000)
S (0.0000, 0.5000, 0.5000)
N (0.5000, 0.5000, 0.0000)

formation energy (no corrections): -3.29 eV/f.u.
VASP energy: -34.0 eV per cell
crystal system: tetragonal